Compound: As2C
Source: Alexandria via LeMat-Bulk
Functional: PBE-GGA
Structure: relaxed

```
As2C
1.0
-4.880 -1.467 4.066
2.660 -5.853 1.081
1.505 1.091 2.200
As C
4 2
Cartesian
-1.882 -6.204 4.364
-1.506 -2.446 4.129
0.792 -3.783 3.219
-0.338 -1.115 0.784
0.753 0.545 1.100
-1.110 -3.660 2.574
```

As for the formation energy from the elements: 1.268 eV/atom. Its density of states at the Fermi level is 1.2 states/eV/f.u.